No. 1
The following is a DFT calculation (PBE) of ThScSb after structural relaxation.

Cell: 3.8494 3.8494 6.1641 Å, 108.19 108.19 90.00°
With the nearest neighbours (Å) after each atom.
Sites, in units of the cell vectors:
Sc1 0.9250 0.9250 0.8500  4 Sb 3.03, 1 Th 3.37
Sb1 0.3051 0.3051 0.6102  4 Sc 3.03
Th1 0.6199 0.6199 0.2399  5 Sc 3.37-3.47, 5 Sb 3.41-3.48

Results
- energy (eV per formula unit) = -19.387
- SG = I4mm (107)

***

No. 2
The following is a DFT calculation (PBE) of Ca2AcErHg4 after structural relaxation.

Cell: 5.3868 5.3868 9.4862 Å, 73.51 73.51 60.00°
With the nearest neighbours (Å) after each atom.
Sites, in units of the cell vectors:
Ca1 0.7532 0.7532 0.7405  7 Hg 3.17-3.31
Ca2 0.2468 0.2468 0.2595  7 Hg 3.17-3.31
Ac1 0.0000 0.0000 0.0000  8 Hg 3.38-3.47
Er1 0.5000 0.5000 0.5000  8 Hg 3.16-3.27
Hg1 0.3823 0.3823 0.8530  1 Er 3.16, 3 Ca 3.27, 3 Ac 3.38
Hg2 0.8711 0.8711 0.3868  4 Ca 3.17-3.31, 3 Er 3.27, 1 Ac 3.47
Hg3 0.1289 0.1289 0.6132  4 Ca 3.17-3.31, 3 Er 3.27, 1 Ac 3.47
Hg4 0.6177 0.6177 0.1470  1 Er 3.16, 3 Ca 3.27, 3 Ac 3.38

Results
- DFT formation energy (meV per atom) = -518
- energy (eV per formula unit) = -18.028
- SG = R-3m (166)

***

No. 3
The following is a DFT calculation (PBE) of TbPaPd4 after structural relaxation.

Cell: 5.4456 5.4456 5.4456 Å, 60.00 60.00 60.00°
With the nearest neighbours (Å) after each atom.
Sites, in units of the cell vectors:
Pa1 0.0000 0.0000 0.0000  12 Pd 3.19, 4 Tb 3.33
Tb1 0.2500 0.2500 0.2500  12 Pd 3.19, 4 Pa 3.33
Pd1 0.6251 0.6251 0.1248  6 Pd 2.72
Pd2 0.6251 0.1248 0.6251  6 Pd 2.72
Pd3 0.6251 0.6251 0.6251  6 Pd 2.72
Pd4 0.1248 0.6251 0.6251  6 Pd 2.72

Results
- DFT formation energy (meV per atom) = -603
- energy (eV per formula unit) = -38.517
- SG = F-43m (216)
- energy above the lowest structure with this stoichiometry (meV/atom) = 160

***

No. 4
The following is a DFT calculation (PBE) of Ba3Zn2Ge3 after structural relaxation.

Cell: 4.5909 6.7783 15.8227 Å, 90.00 90.00 109.79°
With the nearest neighbours (Å) after each atom.
Sites, in units of the cell vectors:
Ba1 0.9235 0.8469 0.3962  5 Ge 3.37-3.58, 3 Zn 3.40-3.76
Ba2 0.0765 0.1531 0.8962  5 Ge 3.37-3.58, 3 Zn 3.40-3.76
Ba3 0.9235 0.8469 0.1038  5 Ge 3.37-3.58, 3 Zn 3.40-3.76
Ba4 0.0765 0.1531 0.6038  5 Ge 3.37-3.58, 3 Zn 3.40-3.76
Ba5 0.6411 0.2821 0.2500  4 Ge 3.34-3.35, 4 Zn 3.48
Ba6 0.3589 0.7179 0.7500  4 Ge 3.34-3.35, 4 Zn 3.48
Zn1 0.7726 0.5453 0.9000  4 Ge 2.66-2.72
Zn2 0.2274 0.4547 0.4000  4 Ge 2.66-2.72
Zn3 0.7726 0.5453 0.6000  4 Ge 2.66-2.72
Zn4 0.2274 0.4547 0.1000  4 Ge 2.66-2.72
Ge1 0.6546 0.3092 0.4610  3 Zn 2.66-2.67
Ge2 0.3454 0.6908 0.9610  3 Zn 2.66-2.67
Ge3 0.6546 0.3092 0.0390  3 Zn 2.66-2.67
Ge4 0.3454 0.6908 0.5390  3 Zn 2.66-2.67
Ge5 0.3320 0.6640 0.2500  2 Zn 2.72
Ge6 0.6680 0.3360 0.7500  2 Zn 2.72

Results
- DFT formation energy (meV per atom) = -440
- energy (eV per formula unit) = -25.686
- SG = Cmcm (63)
- energy above the lowest structure with this stoichiometry (meV/atom) = 11